No. 1
LuTlZnTe3, relaxed, DFT PBE-GGA; electronic total energy = -21.6 eV per formula unit; SG = C2/m; theoretical density = 7.1 g cm⁻³
1.0
-6.408 -0.729 -7.548
-2.766 -2.462 -9.212
-1.635 -7.905 4.656
Te Zn Tl Lu
6 2 2 2
direct
0.330 0.330 0.646
0.671 0.671 0.799
0.670 0.670 0.354
0.000 0.000 0.500
0.329 0.329 0.201
0.500 0.500 0.000
0.469 0.469 0.278
0.531 0.531 0.722
0.864 0.864 0.933
0.136 0.136 0.067
0.827 0.827 0.425
0.173 0.173 0.575

---

No. 2
Dy2HoSb3, relaxed, DFT PBE-GGA; electronic total energy = -32.9 eV per formula unit; SG = P-3m1; theoretical density = 8.0 g cm⁻³
1.0
-0.272 -2.272 -3.727
-2.626 -0.982 3.357
-7.296 6.916 -3.684
Dy Sb Ho
2 3 1
direct
0.667 0.333 0.167
0.333 0.667 0.833
0.667 0.333 0.666
0.333 0.667 0.334
0.000 0.000 0.000
0.000 0.000 0.500

---

No. 3
OsPb, relaxed, DFT PBE-GGA; electronic total energy = -11.1 eV per formula unit; SG = F-43m; theoretical density = 11.4 g cm⁻³
1.0
0.000 3.072 3.072
3.072 0.000 3.072
3.072 3.072 0.000
Pb Os
1 1
direct
0.250 0.250 0.250
0.000 0.000 0.000

---

no.,total moment (μB/cell)
1,0.0
2,0.0
3,0.0